{"formula": "HfMn3Be8", "functional": "PBE", "state": "optimized geometry", "density_g_cm3": 6.013, "formation_enthalpy_0k_ev_per_atom": -0.2253, "magmom_total_mub_per_fu": 0.78, "space_group": "P3m1, No. 156", "lattice": [[-0.910, 4.023, 1.224], [-1.519, -1.509, -3.732], [-5.877, -2.346, 3.341]], "species": ["Hf", "Mn", "Mn", "Mn", "Be", "Be", "Be", "Be", "Be", "Be", "Be", "Be"], "frac_coords": [[0.000, 0.000, 0.562], [0.667, 0.333, 0.410], [0.667, 0.333, 0.071], [0.000, 0.000, 0.941], [0.333, 0.667, 0.489], [0.333, 0.667, 0.004], [0.502, 0.004, 0.770], [0.502, 0.498, 0.770], [0.996, 0.498, 0.770], [0.164, 0.329, 0.238], [0.164, 0.836, 0.238], [0.671, 0.836, 0.238]]}

{"formula": "ZnNiAu2", "functional": "PBE", "state": "optimized geometry", "density_g_cm3": 13.808, "formation_enthalpy_0k_ev_per_atom": -0.0182, "magmom_total_mub_per_fu": 0.00, "space_group": "F-43m, No. 216", "lattice": [[-3.173, -2.122, 2.288], [-1.133, -4.160, -1.101], [1.076, -3.383, 2.683]], "species": ["Au", "Au", "Ni", "Zn"], "frac_coords": [[0.000, 0.000, 0.000], [0.250, 0.250, 0.250], [0.500, 0.500, 0.500], [0.750, 0.750, 0.750]]}

{"formula": "Pa2GaCo", "functional": "PBE", "state": "optimized geometry", "density_g_cm3": 10.537, "formation_enthalpy_0k_ev_per_atom": 0.1933, "magmom_total_mub_per_fu": 0.00, "space_group": "R-3m, No. 166", "polymorph_energy_mev_per_atom": 463, "lattice": [[3.310, 0.000, 0.000], [1.655, 2.867, 0.000], [1.655, 0.956, 9.809]], "species": ["Pa", "Pa", "Co", "Ga"], "frac_coords": [[0.105, 0.105, 0.684], [0.895, 0.895, 0.316], [0.500, 0.500, 0.500], [0.000, 0.000, 0.000]]}

{"formula": "Mg3AsRh3", "functional": "PBE", "state": "optimized geometry", "density_g_cm3": 6.573, "formation_enthalpy_0k_ev_per_atom": -0.5203, "magmom_total_mub_per_fu": 0.00, "space_group": "R-3m, No. 166", "lattice": [[-2.506, -3.164, 3.380], [2.615, -2.958, -3.765], [3.423, 2.967, 2.682]], "species": ["Mg", "Mg", "Mg", "As", "Rh", "Rh", "Rh"], "frac_coords": [[0.500, 0.004, 0.000], [0.500, 0.504, 0.500], [0.000, 0.004, 0.500], [0.000, 0.503, 0.000], [0.500, 0.504, 0.000], [0.500, 0.003, 0.500], [0.000, 0.504, 0.500]]}

{"formula": "Tb3Mg5Tl2", "functional": "PBE", "state": "optimized geometry", "density_g_cm3": 6.210, "formation_enthalpy_0k_ev_per_atom": -0.0409, "magmom_total_mub_per_fu": 0.34, "space_group": "Ibam, No. 72", "lattice": [[-1.335, -3.624, 4.906], [1.100, -9.385, -2.660], [8.054, -0.832, 5.549]], "species": ["Tb", "Tb", "Tb", "Tb", "Tb", "Tb", "Mg", "Mg", "Mg", "Mg", "Mg", "Mg", "Mg", "Mg", "Mg", "Mg", "Tl", "Tl", "Tl", "Tl"], "frac_coords": [[0.250, 0.000, 0.000], [0.750, 0.000, 0.000], [0.370, 0.365, 0.894], [0.630, 0.635, 0.106], [0.870, 0.894, 0.365], [0.130, 0.106, 0.635], [0.250, 0.500, 0.500], [0.750, 0.500, 0.500], [0.507, 0.743, 0.743], [0.993, 0.257, 0.257], [0.493, 0.257, 0.257], [0.007, 0.743, 0.743], [0.112, 0.538, 0.239], [0.888, 0.462, 0.761], [0.612, 0.239, 0.538], [0.388, 0.761, 0.462], [0.140, 0.708, 0.013], [0.860, 0.292, 0.987], [0.640, 0.013, 0.708], [0.360, 0.987, 0.292]]}

{"formula": "RbNa2HgS", "functional": "PBE", "state": "optimized geometry", "density_g_cm3": 3.188, "magmom_total_mub_per_fu": 0.00, "space_group": "P4/mmm, No. 123", "raw_formation_energy_ev_per_atom": -0.56, "lattice": [[5.387, 0.000, 0.000], [0.000, 5.387, 0.000], [0.000, 0.000, 6.536]], "species": ["Na", "Na", "S", "Hg", "Rb"], "frac_coords": [[0.000, 0.500, 0.000], [0.500, 0.000, 0.000], [0.000, 0.000, 0.000], [0.500, 0.500, 0.500], [0.000, 0.000, 0.500]]}

Repeat the sixth record exactly.
{"formula": "RbNa2HgS", "functional": "PBE", "state": "optimized geometry", "density_g_cm3": 3.188, "magmom_total_mub_per_fu": 0.00, "space_group": "P4/mmm, No. 123", "raw_formation_energy_ev_per_atom": -0.56, "lattice": [[5.387, 0.000, 0.000], [0.000, 5.387, 0.000], [0.000, 0.000, 6.536]], "species": ["Na", "Na", "S", "Hg", "Rb"], "frac_coords": [[0.000, 0.500, 0.000], [0.500, 0.000, 0.000], [0.000, 0.000, 0.000], [0.500, 0.500, 0.500], [0.000, 0.000, 0.500]]}